No. 1
Density functional theory data (PBE-GGA) for crystalline Sr2TaIr at its relaxed geometry.

DOS at the Fermi energy in states/eV/atom: 1.26
E in eV/atom: -5.163
Calculated volume in Å³ per cell: 98.4
Space-group type: R-3m, No. 166
ΔH_f (0 K) in eV/atom: 0.857
ρ in kg/m³: 9254
ΔE to the lowest computed polymorph in meV per atom: 815

The structure in POSCAR format:
```
Sr2TaIr
1.0
1.6469 0.9509 10.4729
-1.6469 0.9509 10.4729
0.0000 -1.9017 10.4729
Sr Ta Ir
2 1 1
direct
0.2404 0.2404 0.2404
0.7596 0.7596 0.7596
0.0000 0.0000 0.0000
0.5000 0.5000 0.5000
```

No. 2
Density functional theory data (PBE-GGA) for crystalline SrTaIr2 at its relaxed geometry.

DOS at the Fermi energy in states/eV/atom: 0.70
E in eV/atom: -7.620
Calculated volume in Å³ per cell: 177.6
Space-group type: I-42d, No. 122
ΔH_f (0 K) in eV/atom: 0.194
ρ in kg/m³: 12209
ΔE to the lowest computed polymorph in meV per atom: 537

The structure in POSCAR format:
```
SrTaIr2
1.0
-3.7430 3.7430 3.1696
3.7430 -3.7430 3.1696
3.7430 3.7430 -3.1696
Sr Ta Ir
2 2 4
direct
0.0000 0.0000 0.0000
0.7500 0.2500 0.5000
0.2500 0.7500 0.5000
0.5000 0.5000 0.0000
0.1805 0.6250 0.0555
0.3750 0.4305 0.5555
0.5695 0.1250 0.9445
0.8750 0.8195 0.4445
```

No. 3
Density functional theory data (PBE-GGA) for crystalline SrTa2Ir2 at its relaxed geometry.

DOS at the Fermi energy in states/eV/atom: 0.53
E in eV/atom: -8.848
Calculated volume in Å³ per cell: 190.6
Space-group type: P4/mbm, No. 127
ΔH_f (0 K) in eV/atom: -0.226
ρ in kg/m³: 14531
ΔE to the lowest computed polymorph in meV per atom: 240

The structure in POSCAR format:
```
SrTa2Ir2
1.0
8.1583 0.0000 0.0000
0.0000 8.1583 0.0000
0.0000 0.0000 2.8637
Sr Ta Ir
2 4 4
direct
0.0000 0.0000 0.0000
0.5000 0.5000 0.0000
0.1368 0.3632 0.0000
0.3632 0.8632 0.0000
0.6368 0.1368 0.0000
0.8632 0.6368 0.0000
0.1531 0.6531 0.5000
0.3469 0.1531 0.5000
0.6531 0.8469 0.5000
0.8469 0.3469 0.5000
```

No. 4
Density functional theory data (PBE-GGA) for crystalline SrTa2Ir at its relaxed geometry.

DOS at the Fermi energy in states/eV/atom: 0.93
E in eV/atom: -7.939
Calculated volume in Å³ per cell: 78.0
Space-group type: C2/m, No. 12
ΔH_f (0 K) in eV/atom: 0.623
ρ in kg/m³: 13663
ΔE to the lowest computed polymorph in meV per atom: 508

The structure in POSCAR format:
```
SrTa2Ir
1.0
2.8270 -4.9959 0.0000
2.8270 4.9959 0.0000
-0.9273 0.0000 2.7611
Sr Ta Ir
1 2 1
direct
0.0000 0.0000 0.0000
0.0000 0.5000 0.5000
0.5000 0.0000 0.5000
0.5000 0.5000 0.0000
```